# 1
Material: NaMn2Se4
Method: DFT, GGA-PBE
State: relaxed

Cell and atoms, written as CIF:
```
data_NaMn2Se4
_symmetry_space_group_name_H-M 'R -3 m'
_symmetry_Int_Tables_number 166
_symmetry_space_group_name_Hall '-R 3 2"'
_cell_length_a 3.7032
_cell_length_b 3.7032
_cell_length_c 37.1857
_cell_angle_alpha 90.00
_cell_angle_beta 90.00
_cell_angle_gamma 120.00
loop_
_atom_site_label
_atom_site_type_symbol
_atom_site_fract_x
_atom_site_fract_y
_atom_site_fract_z
_atom_site_occupancy
Na1 Na 0.0000 0.0000 0.0000 1
Mn1 Mn 0.0000 0.0000 0.4281 1
Se1 Se 0.0000 0.0000 0.1317 1
Se2 Se 0.0000 0.0000 0.2770 1
```

Results
- Excess energy over the best structure of this formula in the dataset: 0 meV per atom
- Fermi-level density of states: 0.173 states/eV/atom
- DFT total energy: -113.19 eV for the cell shown
- Raw formation energy: -591 meV per atom

# 2
Material: NaMnSe3
Method: DFT, GGA-PBE
State: relaxed

Cell and atoms, written as CIF:
```
data_NaMnSe3
_symmetry_space_group_name_H-M 'P -1'
_symmetry_Int_Tables_number 2
_cell_length_a 4.575
_cell_length_b 8.299
_cell_length_c 8.509
_cell_angle_alpha 116.77
_cell_angle_beta 90.03
_cell_angle_gamma 105.99
loop_
_symmetry_equiv_pos_as_xyz
'x,y,z'
'-x,-y,-z'
loop_
_atom_site_label
_atom_site_type_symbol
_atom_site_fract_x
_atom_site_fract_y
_atom_site_fract_z
_atom_site_occupancy
Na1 Na 0.138 0.277 0.457 1
Mn1 Mn 0.351 0.702 0.056 1
Se1 Se 0.178 0.357 0.840 1
Se2 Se 0.347 0.694 0.761 1
Se3 Se 0.486 0.971 0.706 1
```

Results
- Excess energy over the best structure of this formula in the dataset: 0 meV per atom
- Fermi-level density of states: 0.066 states/eV/atom
- DFT total energy: -46.92 eV for the cell shown
- Raw formation energy: -504 meV per atom

# 3
Material: NaMnSe3
Method: DFT, GGA-PBE
State: relaxed

Cell and atoms, written as CIF:
```
data_NaMnSe3
_symmetry_space_group_name_H-M 'P m -3 m'
_symmetry_Int_Tables_number 221
_symmetry_space_group_name_Hall '-P 4 2 3'
_cell_length_a 5.104
_cell_length_b 5.104
_cell_length_c 5.104
_cell_angle_alpha 90.00
_cell_angle_beta 90.00
_cell_angle_gamma 90.00
loop_
_atom_site_label
_atom_site_type_symbol
_atom_site_fract_x
_atom_site_fract_y
_atom_site_fract_z
_atom_site_occupancy
Na1 Na 0.000 0.000 0.000 1
Mn1 Mn 0.500 0.500 0.500 1
Se1 Se 0.000 0.000 0.500 1
```

Results
- Excess energy over the best structure of this formula in the dataset: 1235 meV per atom
- Fermi-level density of states: 1.152 states/eV/atom
- DFT total energy: -17.29 eV for the cell shown
- Raw formation energy: 731 meV per atom

What is the formula in the first record? NaMn2Se4

Which value of DFT total energy does entry 1 give? -113.19 eV for the cell shown

What is the Fermi-level density of states in the second record? 0.066 states/eV/atom

What is the raw formation energy in the third record? 731 meV per atom